# 1
Here is a relaxed structure of BaMg4Pb3O12 from Alexandria via LeMat-Bulk. Energies are from PBE-GGA.

extended XYZ file:
```
20
Lattice="-3.987 3.987 3.987 3.987 -3.987 3.987 3.987 3.987 -3.987" Properties=species:S:1:pos:R:3 pbc="T T T"
Ba 0.000 0.000 0.000
Mg 1.994 1.994 -1.994
Mg 1.994 -1.994 1.994
Mg -1.994 1.994 1.994
Mg 1.994 1.994 1.994
Pb 3.987 0.000 0.000
Pb 0.000 3.987 0.000
Pb 0.000 0.000 3.987
O 3.987 -1.522 2.482
O 2.465 1.505 0.000
O 5.509 1.505 0.000
O 2.482 3.987 -1.522
O 1.505 0.000 2.465
O 0.000 2.465 1.505
O 3.987 1.522 2.482
O 2.482 3.987 1.522
O 1.505 0.000 5.509
O -1.522 2.482 3.987
O 1.522 2.482 3.987
O 0.000 5.509 1.505
```

ΔE_f (raw)	-1615.8	meV per atom
electronic total energy	-5.5621	eV per atom
calculated volume	12.7	A^3/atom
M_tot	2.20	μB/cell
DOS at the Fermi energy	15.61	states/eV/cell
SG	Im-3 (204)

---

# 2
Here is a relaxed structure of YHo2MgAu4 from Alexandria via LeMat-Bulk. Energies are from PBE-GGA.

extended XYZ file:
```
8
Lattice="2.494 1.440 8.201 -2.494 1.440 8.201 0.000 -2.880 8.201" Properties=species:S:1:pos:R:3 pbc="T T T"
Y 0.000 0.000 0.000
Ho 0.000 0.000 6.031
Ho 0.000 0.000 18.572
Mg 0.000 0.000 12.302
Au 0.000 0.000 3.033
Au 0.000 0.000 9.187
Au 0.000 0.000 15.416
Au 0.000 0.000 21.571
```

electronic total energy	-4.6072	eV per atom
calculated volume	22.1	A^3/atom
ΔE_f	-0.817	eV/atom
M_tot	0.00	μB/cell
DOS at the Fermi energy	4.92	states/eV/cell
SG	R-3m (166)

---

# 3
Here is a relaxed structure of Rb2NbCBr6 from Alexandria via LeMat-Bulk. Energies are from PBE-GGA.

extended XYZ file:
```
10
Lattice="-3.691 3.691 5.926 3.691 -3.691 5.926 3.691 3.691 -5.926" Properties=species:S:1:pos:R:3 pbc="T T T"
Rb 3.691 0.000 2.963
Rb 0.000 3.691 2.963
Nb 0.000 0.000 0.000
C 0.000 0.000 5.926
Br 0.000 0.000 2.626
Br 1.868 1.868 0.000
Br 1.823 -1.823 5.926
Br -1.823 1.823 5.926
Br 1.823 1.823 5.926
Br 0.000 0.000 9.226
```

ΔE_f (raw)	-427.4	meV per atom
electronic total energy	-3.5540	eV per atom
calculated volume	32.3	A^3/atom
M_tot	3.00	μB/cell
DOS at the Fermi energy	8.06	states/eV/cell
SG	I4/mmm (139)

---

# 4
Here is a relaxed structure of LaHo3Ni from Alexandria via LeMat-Bulk. Energies are from PBE-GGA.

extended XYZ file:
```
10
Lattice="5.093 -7.560 0.000 5.093 7.560 0.000 0.000 0.000 3.630" Properties=species:S:1:pos:R:3 pbc="T T T"
La 5.093 4.390 0.000
La 5.093 -4.390 0.000
Ho 0.000 0.000 1.778
Ho 2.912 2.002 1.777
Ho 2.912 -2.002 1.777
Ho 5.093 0.000 3.579
Ho 7.275 2.002 1.777
Ho 7.275 -2.002 1.777
Ni 2.202 0.000 3.596
Ni 7.984 0.000 3.596
```

electronic total energy	-5.0680	eV per atom
energy above the most stable polymorph in this dataset	0.0	kJ/mol of atoms
calculated volume	28.0	A^3/atom
ΔE_f	-0.180	eV/atom
M_tot	0.00	μB/cell
DOS at the Fermi energy	12.63	states/eV/cell
SG	Cmm2 (35)

---

# 5
Here is a relaxed structure of Na4Y3SnTe8 from Alexandria via LeMat-Bulk. Energies are from PBE-GGA.

extended XYZ file:
```
16
Lattice="4.438 2.562 7.557 -4.438 2.562 7.557 0.000 -5.124 7.557" Properties=species:S:1:pos:R:3 pbc="T T T"
Na 0.000 0.000 0.000
Na -2.219 -1.281 7.557
Na -2.219 1.281 15.114
Na 0.000 2.562 7.557
Y -4.438 0.000 11.336
Y -2.219 1.281 3.779
Y 2.219 1.281 3.779
Sn 0.000 0.000 11.336
Te 0.000 0.000 5.538
Te -2.213 -1.277 13.074
Te 0.000 -2.555 9.597
Te -2.213 1.277 9.597
Te 2.213 -1.277 13.074
Te 0.000 2.555 13.074
Te 2.213 1.277 9.597
Te 0.000 0.000 17.133
```

ΔE_f (raw)	-1112.1	meV per atom
electronic total energy	-4.4748	eV per atom
calculated volume	32.2	A^3/atom
M_tot	0.00	μB/cell
DOS at the Fermi energy	2.28	states/eV/cell
SG	R-3m (166)